The following is a DFT calculation (GGA-PBE) of AcHPt after structural relaxation.

abc: 6.7567 6.7567 6.7567
angles: 90.00 90.00 90.00
Closest atoms and distances in Å follow each position.
Atoms (fractional coordinates):
Ac  0.0000  0.0000  0.0000  4 Pt 2.93, 4 H 2.93
Ac  0.0000  0.5000  0.5000  4 Pt 2.93, 4 H 2.93
Ac  0.5000  0.0000  0.5000  4 Pt 2.93, 4 H 2.93
Ac  0.5000  0.5000  0.0000  4 Pt 2.93, 4 H 2.93
H  0.2500  0.2500  0.2500  4 Ac 2.93
H  0.2500  0.7500  0.7500  4 Ac 2.93
H  0.7500  0.2500  0.7500  4 Ac 2.93
H  0.7500  0.7500  0.2500  4 Ac 2.93
Pt  0.2500  0.2500  0.7500  4 Ac 2.93
Pt  0.2500  0.7500  0.2500  4 Ac 2.93
Pt  0.7500  0.2500  0.2500  4 Ac 2.93
Pt  0.7500  0.7500  0.7500  4 Ac 2.93

Properties
Crystal system: cubic
Calculated density: 9.1 Mg/m³
Density of states at the Fermi level: 0.053 states/eV per atom
Offset from the most stable computed form: 381 meV per atom